An optimized crystal structure of ZrMnPb2O6. Source: Alexandria, functional GGA+U.

**M_tot**: 6.0 μB/cell
**Final energy**: -7.1356 eV per atom

Geometry as CIF:
```
data_ZrMnPb2O6
_chemical_formula_sum 'Zr2 Mn2 Pb4 O12'
_cell_length_a 5.7309
_cell_length_b 5.6975
_cell_length_c 9.8479
_cell_angle_alpha 90.00
_cell_angle_beta 125.29
_cell_angle_gamma 90.00
_space_group_name_H-M_alt 'P 1 21/c 1'
_space_group_IT_number 14
loop_
_space_group_symop_operation_xyz
'x,y,z'
'-x,-y,-z'
'-x,y+1/2,-z+1/2'
'x,-y+1/2,z+1/2'
loop_
_atom_site_label
_atom_site_type_symbol
_atom_site_fract_x
_atom_site_fract_y
_atom_site_fract_z
Zr1 Zr 0.0000 0.0000 0.0000
Mn1 Mn 0.5000 0.0000 0.5000
Pb1 Pb 0.2578 0.0016 0.7517
O1 O 0.2156 0.0006 0.2607
O2 O 0.2842 0.7379 0.0252
O3 O 0.2892 0.2430 0.5251
```